Entry 1:
Entry from the Open Quantum Materials Database: LiErRe after structural relaxation (PBE).

Excess energy over the best structure of this formula in the dataset (meV per atom): 0
Theoretical density (g/cm3): 10.573
Total energy (eV per atom): -5.325
Magnetization (μB/atom): 0.19

extended XYZ file:
```
3
Lattice="0.000 3.047 3.047 3.047 0.000 3.047 3.047 3.047 0.000" Properties=species:S:1:pos:R:3 pbc="T T T"
Li 0.000 0.000 0.000
Er 4.571 4.571 4.571
Re 1.524 1.524 1.524
```



Entry 2:
Entry from the Open Quantum Materials Database: Sr2SnHg after structural relaxation (PBE).

Excess energy over the best structure of this formula in the dataset (meV per atom): 0
Theoretical density (g/cm3): 6.290
Total energy (eV per atom): -2.575

extended XYZ file:
```
4
Lattice="0.000 4.027 4.027 4.027 0.000 4.027 4.027 4.027 0.000" Properties=species:S:1:pos:R:3 pbc="T T T"
Sr 2.013 2.013 2.013
Sr 6.040 6.040 6.040
Sn 0.000 0.000 0.000
Hg 4.027 4.027 4.027
```



Entry 3:
Entry from the Open Quantum Materials Database: TaCdFeSn after structural relaxation (PBE).

Excess energy over the best structure of this formula in the dataset (meV per atom): 34
Theoretical density (g/cm3): 10.822
Total energy (eV per atom): -5.737
Magnetization (μB/atom): 0.52

extended XYZ file:
```
4
Lattice="0.000 3.299 3.299 3.299 0.000 3.299 3.299 3.299 0.000" Properties=species:S:1:pos:R:3 pbc="T T T"
Ta 0.000 0.000 0.000
Cd 4.948 4.948 4.948
Fe 3.299 3.299 3.299
Sn 1.649 1.649 1.649
```



Entry 4:
Entry from the Open Quantum Materials Database: Tb3Zr4 after structural relaxation (PBE).

Excess energy over the best structure of this formula in the dataset (meV per atom): 8
Formation energy (meV per atom): 75.9
Theoretical density (g/cm3): 7.525
Total energy (eV per atom): -6.792
Magnetization (μB/atom): 0.00

extended XYZ file:
```
14
Lattice="8.933 0.000 0.000 -4.467 7.736 0.000 0.000 0.000 5.375" Properties=species:S:1:pos:R:3 pbc="T T T"
Tb -1.229 3.590 1.344
Tb -0.743 7.006 1.344
Tb 2.494 2.860 4.031
Tb 1.972 4.876 1.344
Tb 5.209 0.730 4.031
Tb 5.696 4.146 4.031
Zr -0.549 1.741 4.031
Zr -2.684 7.341 4.031
Zr 1.233 1.346 1.344
Zr 0.000 5.158 4.031
Zr 4.467 2.579 1.344
Zr 3.233 6.390 4.031
Zr 7.150 0.395 1.344
Zr 5.016 5.995 1.344
```



Entry 5:
Entry from the Open Quantum Materials Database: GaW2N after structural relaxation (PBE).

Theoretical density (g/cm3): 14.454
Total energy (eV per atom): -9.233
Magnetization (μB/atom): 0.00

extended XYZ file:
```
8
Lattice="2.842 0.000 0.000 -1.421 2.461 0.000 0.000 0.000 14.829" Properties=species:S:1:pos:R:3 pbc="T T T"
Ga 0.000 1.641 3.707
Ga 1.421 0.820 11.122
W 0.000 1.641 8.872
W 0.000 1.641 13.371
W 1.421 0.820 1.458
W 1.421 0.820 5.957
N 0.000 0.000 0.000
N 0.000 0.000 7.414
```



Entry 6:
Entry from the Open Quantum Materials Database: Dy3Tm3NiTe2 after structural relaxation (PBE).

Excess energy over the best structure of this formula in the dataset (meV per atom): 0
Theoretical density (g/cm3): 9.295
Total energy (eV per atom): -5.056
Magnetization (μB/atom): 0.12

extended XYZ file:
```
9
Lattice="8.326 0.000 0.000 -4.163 7.211 0.000 0.000 0.000 3.892" Properties=species:S:1:pos:R:3 pbc="T T T"
Dy -1.665 2.884 0.000
Dy 3.330 0.000 0.000
Dy 2.498 4.327 0.000
Tm -3.177 5.503 1.946
Tm 0.986 1.707 1.946
Tm 6.355 0.000 1.946
Ni 0.000 0.000 0.000
Te 0.000 4.807 1.946
Te 4.163 2.404 1.946
```



Entry 7:
Entry from the Open Quantum Materials Database: La2AgTe3 after structural relaxation (PBE).

Theoretical density (g/cm3): 6.844
Total energy (eV per atom): -4.871
Magnetization (μB/atom): 0.09

extended XYZ file:
```
24
Lattice="9.320 0.000 0.000 0.000 4.466 0.000 0.000 0.000 17.915" Properties=species:S:1:pos:R:3 pbc="T T T"
La 0.496 1.117 3.860
La 2.310 1.117 17.385
La 2.350 3.350 8.428
La 4.164 3.350 12.817
La 5.156 1.117 5.098
La 6.970 1.117 9.488
La 7.010 3.350 0.530
La 8.824 3.350 14.056
Ag 1.163 1.117 11.414
Ag 3.497 3.350 2.456
Ag 5.823 1.117 15.459
Ag 8.157 3.350 6.501
Te 0.245 1.117 7.268
Te 0.904 3.350 1.392
Te 1.979 1.117 14.073
Te 2.681 3.350 5.116
Te 3.757 1.117 10.349
Te 4.415 3.350 16.226
Te 4.905 1.117 1.689
Te 5.564 3.350 7.566
Te 6.639 1.117 12.800
Te 7.341 3.350 3.842
Te 8.417 1.117 16.524
Te 9.075 3.350 10.647
```



Entry 8:
Entry from the Open Quantum Materials Database: Dy2Tm3Ga3 after structural relaxation (PBE).

Excess energy over the best structure of this formula in the dataset (meV per atom): 0
Theoretical density (g/cm3): 8.733
Total energy (eV per atom): -4.354
Magnetization (μB/atom): 0.00

extended XYZ file:
```
8
Lattice="6.556 0.000 0.000 0.000 4.779 0.000 -1.928 0.000 6.318" Properties=species:S:1:pos:R:3 pbc="T T T"
Dy 0.000 0.000 0.000
Dy 0.496 2.390 5.013
Tm 1.394 2.390 1.827
Tm 2.759 0.000 3.649
Tm 4.675 2.390 1.872
Ga -0.261 0.000 3.081
Ga 3.068 0.000 0.618
Ga 3.738 2.390 4.956
```



Entry 9:
Entry from the Open Quantum Materials Database: RbHoMgSe3 after structural relaxation (PBE).

Theoretical density (g/cm3): 4.478
Total energy (eV per atom): -4.481
Magnetization (μB/atom): 0.00

extended XYZ file:
```
12
Lattice="9.252 0.000 0.000 0.000 4.248 0.000 -3.390 0.000 9.656" Properties=species:S:1:pos:R:3 pbc="T T T"
Rb 1.196 1.062 2.289
Rb 4.665 3.186 7.367
Ho 0.121 3.186 8.384
Ho 5.741 1.062 1.272
Mg -1.280 1.062 5.901
Mg 7.142 3.186 3.754
Se -1.844 1.062 8.355
Se 0.048 3.186 5.275
Se 3.832 3.186 1.502
Se 2.030 1.062 8.153
Se 5.814 1.062 4.381
Se 7.706 3.186 1.300
```



Entry 10:
Entry from the Open Quantum Materials Database: MgPaGa after structural relaxation (PBE).

Theoretical density (g/cm3): 7.327
Total energy (eV per atom): -4.499
Magnetization (μB/atom): 0.00

extended XYZ file:
```
3
Lattice="0.000 3.327 3.327 3.327 0.000 3.327 3.327 3.327 0.000" Properties=species:S:1:pos:R:3 pbc="T T T"
Mg 0.000 0.000 0.000
Pa 3.327 3.327 3.327
Ga 1.664 1.664 1.664
```



Entry 11:
Entry from the Open Quantum Materials Database: PrTlCu after structural relaxation (PBE).

Theoretical density (g/cm3): 8.112
Total energy (eV per atom): -3.463
Magnetization (μB/atom): 0.14

extended XYZ file:
```
3
Lattice="0.000 3.472 3.472 3.472 0.000 3.472 3.472 3.472 0.000" Properties=species:S:1:pos:R:3 pbc="T T T"
Pr 0.000 0.000 0.000
Tl 5.208 5.208 5.208
Cu 3.472 3.472 3.472
```